The following is a DFT calculation (PBE-GGA) of Y2BeTlCr after structural relaxation.

- DOS(E_F) (states/eV/cell) = 4.28
- theoretical density (g cm⁻³) = 6.164
- total moment (Bohr magnetons per cell) = 2.60
- VASP energy (eV per cell) = -27.591

a = 5.275 Å, b = 5.275 Å, c = 4.291 Å
α = 90.00°, β = 90.00°, γ = 90.00°
Space group P4/mmm (No. 123)
Symmetry-distinct sites (fractional):
Y 0.000 0.500 0.000 x2
Be 0.000 0.000 0.000 x1
Tl 0.500 0.500 0.500 x1
Cr 0.000 0.000 0.500 x1

=====

The following is a DFT calculation (PBE-GGA) of UBeCr after structural relaxation.

- DOS(E_F) (states/eV/cell) = 17.00
- theoretical density (g cm⁻³) = 11.662
- total moment (Bohr magnetons per cell) = 0.00
- VASP energy (eV per cell) = -95.966

a = 7.005 Å, b = 3.194 Å, c = 7.614 Å
α = 90.00°, β = 90.00°, γ = 90.00°
Space group Pnma (No. 62)
Symmetry-distinct sites (fractional):
U 0.028 0.250 0.138 x4
Be 0.216 0.750 0.364 x4
Cr 0.111 0.250 0.564 x4

=====

The following is a DFT calculation (PBE-GGA) of BeV2Cr after structural relaxation.

- DOS(E_F) (states/eV/cell) = 1.90
- theoretical density (g cm⁻³) = 5.803
- total moment (Bohr magnetons per cell) = 0.00
- VASP energy (eV per cell) = -31.848

a = 2.931 Å, b = 2.931 Å, c = 5.425 Å
α = 90.00°, β = 90.00°, γ = 90.00°
Space group P4/mmm (No. 123)
Symmetry-distinct sites (fractional):
Be 0.000 0.000 0.000 x1
V 0.500 0.500 0.245 x2
Cr 0.000 0.000 0.500 x1

=====

The following is a DFT calculation (PBE-GGA) of Be3VCr after structural relaxation.

- DOS(E_F) (states/eV/cell) = 2.99
- theoretical density (g cm⁻³) = 3.627
- E above lowest polymorph (eV per atom) = 0.000
- total moment (Bohr magnetons per cell) = 0.00

a = 3.904 Å, b = 3.904 Å, c = 3.904 Å
α = 90.00°, β = 90.00°, γ = 90.00°
Space group Pm-3m (No. 221)
Symmetry-distinct sites (fractional):
Be 0.000 0.000 0.500 x3
V 0.500 0.500 0.500 x1
Cr 0.000 0.000 0.000 x1